An optimized crystal structure of Ac3HoSn12, computed with PBE.

The space group is P4/mmm (No. 123) and the conventional cell measures 4.883, 4.883 and 19.326 Å, with angles of 90.00, 90.00 and 90.00 degrees. The distinct sites, in fractional coordinates, are Ac at (0.000, 0.000, 0.000), Ac at (0.000, 0.000, 0.257), Ho at (0.000, 0.000, 0.500), Sn at (0.000, 0.500, 0.129), Sn at (0.000, 0.500, 0.385), Sn at (0.500, 0.500, 0.000), Sn at (0.500, 0.500, 0.258) and Sn at (0.500, 0.500, 0.500).

The value obtained for the total energy is -4.543 eV per atom. The value obtained for the density of states at the Fermi level is 7.995 states/eV/cell.